[1]
The following is a GGA-PBEsol calculation of a relaxed IrAu2C crystal, from the Alexandria database.

Cell: 5.2856 5.2856 10.2494 Å, 90.00 90.00 90.00°
With the nearest neighbours (Å) after each atom.
Space group I-42d (No. 122)
One atom of each set of equivalent atoms:
1 Ir 0.0000 0.0000 0.0000  4 Au 2.58
2 Au 0.1583 0.2500 0.6250  2 C 2.02
3 C 0.0000 0.0000 0.5000  4 Au 2.02

Electronic total energy, eV per atom: -5.083
Crystal system: tetragonal
E_form, eV/f.u.: 7.0



[2]
The following is a GGA-PBEsol calculation of a relaxed MgOs2Se crystal, from the Alexandria database.

Cell: 2.9304 4.3246 9.8282 Å, 90.00 90.00 90.00°
With the nearest neighbours (Å) after each atom.
Space group Immm (No. 71)
One atom of each set of equivalent atoms:
1 Mg 0.0000 0.0000 0.0000  4 Se 2.61
2 Os 0.0000 0.5000 0.2175  2 Se 2.59, 4 Os 2.69
3 Se 0.0000 0.0000 0.5000  4 Os 2.59, 4 Mg 2.61

Electronic total energy, eV per atom: -7.095
Energy relative to the lowest polymorph listed for this composition, eV/atom: 0.138
Crystal system: orthorhombic
Formation energy (no corrections), meV/atom: 405



[3]
The following is a GGA-PBEsol calculation of a relaxed LiCaIn3 crystal, from the Alexandria database.

Cell: 4.9731 4.9731 4.9731 Å, 90.00 90.00 90.00°
With the nearest neighbours (Å) after each atom.
Space group Pm-3m (No. 221)
One atom of each set of equivalent atoms:
1 Li 0.0000 0.0000 0.0000  6 In 2.49
2 Ca 0.5000 0.5000 0.5000  12 In 3.52
3 In 0.0000 0.0000 0.5000  2 Li 2.49

Electronic total energy, eV per atom: -2.748
Crystal system: cubic
E_form, eV/f.u.: -0.7



[4]
The following is a GGA-PBEsol calculation of a relaxed CsBPbI2F4 crystal, from the Alexandria database.

Cell: 8.4512 8.5394 6.7347 Å, 90.00 91.30 90.00°
With the nearest neighbours (Å) after each atom.
Space group C2 (No. 5)
One atom of each set of equivalent atoms:
1 Cs 0.0000 0.0000 0.0000  6 F 3.43-3.70
2 B 0.0000 0.5265 0.0000  4 F 1.41-1.42
3 Pb 0.0000 0.5200 0.5000  4 F 2.78-2.80
4 I 0.2440 0.2662 0.3733  2 Pb 3.12
5 F 0.0950 0.6219 0.1267  1 B 1.42
6 F 0.0974 0.4320 0.8813  1 B 1.41

Electronic total energy, eV per atom: -4.754
Crystal system: monoclinic
Formation energy (no corrections), meV/atom: -2177



[5]
The following is a GGA-PBEsol calculation of a relaxed BaSr2Ag crystal, from the Alexandria database.

Cell: 4.0212 4.0212 10.2260 Å, 90.00 90.00 90.00°
With the nearest neighbours (Å) after each atom.
Space group P4mm (No. 99)
One atom of each set of equivalent atoms:
1 Ba 0.0000 0.0000 0.0000  4 Ag 3.47, 1 Sr 3.73
2 Sr 0.0000 0.0000 0.6352  4 Ag 3.33, 1 Ba 3.73
3 Sr 0.5000 0.5000 0.3271  8 Sr 4.02-4.24, 4 Ba 4.39
4 Ag 0.5000 0.5000 0.8053  4 Sr 3.33, 4 Ba 3.47

Electronic total energy, eV per atom: -2.388
Energy relative to the lowest polymorph listed for this composition, eV/atom: 0.000
Crystal system: tetragonal
E_form, eV/f.u.: -0.4



[6]
The following is a GGA-PBEsol calculation of a relaxed Sr4In13Au9 crystal, from the Alexandria database.

Cell: 12.6636 12.6636 4.3942 Å, 90.00 90.00 120.00°
With the nearest neighbours (Å) after each atom.
Space group P-6m2 (No. 187)
One atom of each set of equivalent atoms:
1 Sr 0.0000 0.0000 0.0000  6 Au 3.42, 6 In 3.65
2 Sr 0.0781 0.5390 0.5000  6 Au 3.42-3.50, 6 In 3.54-3.56
3 In 0.1328 0.2656 0.5000  4 Au 2.78-2.81
4 In 0.3258 0.0402 0.0000  4 Au 2.78-2.85, 1 In 3.11
5 In 0.3333 0.6667 0.0000  3 Au 2.65
6 In 0.4998 0.2499 0.5000  5 Au 2.86-2.88, 2 In 3.17
7 Au 0.2124 0.4248 0.0000  5 In 2.65-2.81
8 Au 0.2390 0.1195 0.5000  7 In 2.78-2.86
9 Au 0.5806 0.1613 0.0000  6 In 2.80-2.88

Electronic total energy, eV per atom: -3.621
Crystal system: hexagonal
E_form, eV/f.u.: -12.7



[7]
The following is a GGA-PBEsol calculation of a relaxed CoSiPt2 crystal, from the Alexandria database.

Cell: 2.7770 2.7770 6.6824 Å, 90.00 90.00 90.00°
With the nearest neighbours (Å) after each atom.
Space group P4mm (No. 99)
One atom of each set of equivalent atoms:
1 Co 0.0000 0.0000 0.0000  4 Si 2.30
2 Si 0.5000 0.5000 0.8206  4 Co 2.30, 4 Pt 2.53
3 Pt 0.0000 0.0000 0.5813  4 Si 2.53, 4 Pt 2.78, 1 Co 2.80
4 Pt 0.5000 0.5000 0.2684  4 Co 2.66, 8 Pt 2.78-2.87

Electronic total energy, eV per atom: -7.211
Crystal system: tetragonal
Formation energy (no corrections), meV/atom: -358



[8]
The following is a GGA-PBEsol calculation of a relaxed Mg2TlCd crystal, from the Alexandria database.

Cell: 3.4546 3.7378 6.8371 Å, 90.00 90.00 90.00°
With the nearest neighbours (Å) after each atom.
Space group Pmmm (No. 47)
One atom of each set of equivalent atoms:
1 Mg 0.0000 0.0000 0.2385  4 Cd 3.02, 4 Tl 3.11, 1 Mg 3.26
2 Tl 0.5000 0.5000 0.5000  8 Mg 3.11, 2 Cd 3.42, 2 Tl 3.45
3 Cd 0.5000 0.5000 0.0000  8 Mg 3.02

Electronic total energy, eV per atom: -1.906
Crystal system: orthorhombic
E_form, eV/f.u.: -0.4



[9]
The following is a GGA-PBEsol calculation of a relaxed TiZnS2 crystal, from the Alexandria database.

Cell: 5.5654 5.5654 10.3404 Å, 90.00 90.00 90.00°
With the nearest neighbours (Å) after each atom.
Space group I-42d (No. 122)
One atom of each set of equivalent atoms:
1 Ti 0.0000 0.0000 0.0000  4 S 2.39
2 Zn 0.0000 0.0000 0.5000  4 S 2.32
3 S 0.2395 0.2500 0.6250  2 Zn 2.32, 2 Ti 2.39

Electronic total energy, eV per atom: -5.416
Energy relative to the lowest polymorph listed for this composition, eV/atom: 0.000
Crystal system: tetragonal
Formation energy (no corrections), meV/atom: -748



[10]
The following is a GGA-PBEsol calculation of a relaxed ErGa4Cu crystal, from the Alexandria database.

Cell: 4.0267 6.5598 7.8902 Å, 90.00 104.34 90.00°
With the nearest neighbours (Å) after each atom.
Space group P2_1/m (No. 11)
One atom of each set of equivalent atoms:
1 Er 0.1171 0.2500 0.2311  9 Ga 2.84-3.15, 2 Cu 3.12-3.14
2 Ga 0.0726 0.7500 0.1408  1 Cu 2.40
3 Ga 0.3186 0.0506 0.6386  3 Cu 2.42-2.51, 1 Ga 2.62
4 Ga 0.5000 0.0000 0.0000  6 Ga 2.78-2.82
5 Cu 0.2277 0.7500 0.4553  7 Ga 2.40-2.51

Electronic total energy, eV per atom: -4.186
Crystal system: monoclinic
E_form, eV/f.u.: -2.5



[11]
The following is a GGA-PBEsol calculation of a relaxed AsPtWSe2 crystal, from the Alexandria database.

Cell: 4.7358 4.7358 4.8962 Å, 90.00 90.00 90.00°
With the nearest neighbours (Å) after each atom.
Space group P4/mmm (No. 123)
One atom of each set of equivalent atoms:
1 As 0.0000 0.0000 0.0000  2 W 2.45
2 Pt 0.5000 0.5000 0.0000  4 As 3.35, 8 Se 3.41
3 W 0.0000 0.0000 0.5000  4 Se 2.37, 2 As 2.45
4 Se 0.0000 0.5000 0.5000  2 W 2.37

Electronic total energy, eV per atom: -5.815
Crystal system: tetragonal
Formation energy (no corrections), meV/atom: 901



[12]
The following is a GGA-PBEsol calculation of a relaxed Sc2TlH2 crystal, from the Alexandria database.

Cell: 3.5585 3.5585 10.8108 Å, 90.00 90.00 90.00°
With the nearest neighbours (Å) after each atom.
Space group I4/mmm (No. 139)
One atom of each set of equivalent atoms:
1 Sc 0.0000 0.0000 0.1573  4 H 2.04
2 Tl 0.0000 0.0000 0.5000  8 Sc 3.04, 8 H 3.24
3 H 0.0000 0.5000 0.2500  4 Sc 2.04

Electronic total energy, eV per atom: -5.116
Crystal system: tetragonal



[13]
The following is a GGA-PBEsol calculation of a relaxed TlP2Au crystal, from the Alexandria database.

Cell: 3.9588 3.9588 4.8064 Å, 90.00 90.00 90.00°
With the nearest neighbours (Å) after each atom.
Space group P4/mmm (No. 123)
One atom of each set of equivalent atoms:
1 Tl 0.0000 0.0000 0.0000  4 Au 2.80, 8 P 3.11
2 P 0.0000 0.5000 0.5000  4 P 2.80, 4 Tl 3.11, 4 Au 3.11
3 Au 0.5000 0.5000 0.0000  4 Tl 2.80, 8 P 3.11

Electronic total energy, eV per atom: -3.909
Energy relative to the lowest polymorph listed for this composition, eV/atom: 0.657
Crystal system: tetragonal
E_form, eV/f.u.: 2.5



[14]
The following is a GGA-PBEsol calculation of a relaxed Ga2SnHg2 crystal, from the Alexandria database.

Cell: 4.0536 4.0536 13.6638 Å, 90.00 90.00 90.00°
With the nearest neighbours (Å) after each atom.
Space group I4/mmm (No. 139)
One atom of each set of equivalent atoms:
1 Ga 0.0000 0.5000 0.2500  4 Hg 2.83, 4 Ga 2.87
2 Sn 0.0000 0.0000 0.0000  8 Hg 3.21
3 Hg 0.0000 0.0000 0.3944  4 Ga 2.83, 1 Hg 2.89

Electronic total energy, eV per atom: -2.326
Energy relative to the lowest polymorph listed for this composition, eV/atom: 0.039
Crystal system: tetragonal
E_form, eV/f.u.: 0.4



[15]
The following is a GGA-PBEsol calculation of a relaxed YCo3H crystal, from the Alexandria database.

Cell: 3.8098 3.8098 3.8098 Å, 90.00 90.00 90.00°
With the nearest neighbours (Å) after each atom.
Space group Pm-3m (No. 221)
One atom of each set of equivalent atoms:
1 Y 0.0000 0.0000 0.0000  12 Co 2.69
2 Co 0.0000 0.5000 0.5000  2 H 1.90
3 H 0.5000 0.5000 0.5000  6 Co 1.90

Electronic total energy, eV per atom: -6.633
Crystal system: cubic



[16]
The following is a GGA-PBEsol calculation of a relaxed Sr2Li crystal, from the Alexandria database.

Cell: 7.8430 5.8651 11.0136 Å, 90.00 90.00 90.00°
With the nearest neighbours (Å) after each atom.
Space group Pnma (No. 62)
One atom of each set of equivalent atoms:
1 Sr 0.0356 0.2500 0.2035  3 Li 3.66-3.68, 4 Sr 4.04-4.05
2 Sr 0.1644 0.2500 0.5684  4 Li 3.59-3.65
3 Li 0.2092 0.2500 0.8931  7 Sr 3.59-3.68

Electronic total energy, eV per atom: -1.842
Energy relative to the lowest polymorph listed for this composition, eV/atom: 0.019
Crystal system: orthorhombic
E_form, eV/f.u.: 0.1



[17]
The following is a GGA-PBEsol calculation of a relaxed LiSbCl2 crystal, from the Alexandria database.

Cell: 7.0036 7.0036 7.0036 Å, 90.00 90.00 90.00°
With the nearest neighbours (Å) after each atom.
Space group Fm-3m (No. 225)
One atom of each set of equivalent atoms:
1 Li 0.0000 0.0000 0.0000  8 Cl 3.03
2 Sb 0.0000 0.0000 0.5000  8 Cl 3.03
3 Cl 0.2500 0.2500 0.2500  4 Li 3.03, 4 Sb 3.03

Electronic total energy, eV per atom: -3.081
Energy relative to the lowest polymorph listed for this composition, eV/atom: 0.649
Crystal system: cubic
Formation energy (no corrections), meV/atom: -446



[18]
The following is a GGA-PBEsol calculation of a relaxed Al9Co2 crystal, from the Alexandria database.

Cell: 6.1496 6.2374 8.4806 Å, 90.00 95.04 90.00°
With the nearest neighbours (Å) after each atom.
Space group P2_1/c (No. 14)
One atom of each set of equivalent atoms:
1 Al 0.0000 0.0000 0.0000  2 Co 2.36
2 Al 0.0868 0.2106 0.7303  2 Co 2.43-2.45, 1 Al 2.68
3 Al 0.2144 0.6141 0.0438  2 Co 2.45-2.48, 1 Al 2.73
4 Al 0.3909 0.1919 0.9971  2 Co 2.46-2.50, 3 Al 2.69-2.74
5 Al 0.4061 0.5353 0.7674  2 Co 2.42-2.46, 1 Al 2.69
6 Co 0.2642 0.6179 0.3335  9 Al 2.36-2.50

Electronic total energy, eV per atom: -5.089
Crystal system: monoclinic
E_form, eV/f.u.: -3.7



[19]
The following is a GGA-PBEsol calculation of a relaxed NiBiNF2 crystal, from the Alexandria database.

Cell: 3.8782 3.8782 3.9477 Å, 90.00 90.00 90.00°
With the nearest neighbours (Å) after each atom.
Space group P4/mmm (No. 123)
One atom of each set of equivalent atoms:
1 Ni 0.0000 0.0000 0.0000  4 F 1.94, 2 N 1.97
2 Bi 0.5000 0.5000 0.5000  4 N 2.74, 8 F 2.77
3 N 0.0000 0.0000 0.5000  2 Ni 1.97
4 F 0.0000 0.5000 0.0000  2 Ni 1.94

Electronic total energy, eV per atom: -5.143
Energy relative to the lowest polymorph listed for this composition, eV/atom: 0.000
Crystal system: tetragonal
Formation energy (no corrections), meV/atom: -579



[20]
The following is a GGA-PBEsol calculation of a relaxed YTcIr crystal, from the Alexandria database.

Cell: 6.2666 6.2666 6.2666 Å, 90.00 90.00 90.00°
With the nearest neighbours (Å) after each atom.
Space group F-43m (No. 216)
One atom of each set of equivalent atoms:
1 Y 0.0000 0.0000 0.0000  4 Ir 2.71, 4 Tc 2.71
2 Tc 0.2500 0.2500 0.7500  4 Y 2.71
3 Ir 0.2500 0.2500 0.2500  4 Y 2.71

Electronic total energy, eV per atom: -8.187
Crystal system: cubic
E_form, eV/f.u.: 3.4



[21]
The following is a GGA-PBEsol calculation of a relaxed KBaTa2 crystal, from the Alexandria database.

Cell: 5.7646 11.9441 2.9212 Å, 90.00 90.00 90.00°
With the nearest neighbours (Å) after each atom.
Space group Cmmm (No. 65)
One atom of each set of equivalent atoms:
1 K 0.0000 0.0000 0.0000  2 Ba 2.88, 2 K 2.92
2 Ba 0.0000 0.5000 0.0000  2 K 2.88, 2 Ba 2.92
3 Ta 0.2500 0.2500 0.5000  4 Ta 2.88-2.92

Electronic total energy, eV per atom: -5.634
Energy relative to the lowest polymorph listed for this composition, eV/atom: 0.526
Crystal system: orthorhombic
E_form, eV/f.u.: 5.8



[22]
The following is a GGA-PBEsol calculation of a relaxed CsI4 crystal, from the Alexandria database.

Cell: 9.1401 7.3899 13.3416 Å, 90.00 90.16 90.00°
With the nearest neighbours (Å) after each atom.
Space group P2_1/c (No. 14)
One atom of each set of equivalent atoms:
1 Cs 0.2499 0.2503 0.0599  6 I 3.63-3.98
2 I 0.0923 0.2492 0.3097  2 I 2.87-3.12
3 I 0.2485 0.7497 0.4493  2 I 3.33-3.34
4 I 0.2487 0.7497 0.1991  4 I 3.12-3.34
5 I 0.4065 0.2492 0.3102  2 I 2.87-3.15

Electronic total energy, eV per atom: -2.201
Crystal system: monoclinic
Formation energy (no corrections), meV/atom: -599



[23]
The following is a GGA-PBEsol calculation of a relaxed ZrAu2Se crystal, from the Alexandria database.

Cell: 5.3742 5.6081 5.1154 Å, 90.00 90.00 90.00°
With the nearest neighbours (Å) after each atom.
Space group Cmmm (No. 65)
One atom of each set of equivalent atoms:
1 Zr 0.0000 0.0000 0.0000  4 Se 2.69-2.80, 4 Au 2.91
2 Au 0.0000 0.2465 0.5000  4 Au 2.69-2.84, 2 Zr 2.91, 2 Se 2.93
3 Se 0.0000 0.5000 0.0000  4 Zr 2.69-2.80, 4 Au 2.93

Electronic total energy, eV per atom: -5.647
Crystal system: orthorhombic
Formation energy (no corrections), meV/atom: -450



[24]
The following is a GGA-PBEsol calculation of a relaxed Cd2CuNiPb crystal, from the Alexandria database.

Cell: 5.4377 5.4377 4.8146 Å, 90.00 90.00 90.00°
With the nearest neighbours (Å) after each atom.
Space group P4/mmm (No. 123)
One atom of each set of equivalent atoms:
1 Cd 0.0000 0.5000 0.0000  2 Pb 2.72
2 Cu 0.0000 0.0000 0.5000  2 Pb 2.41
3 Ni 0.5000 0.5000 0.5000  8 Cd 3.63, 4 Cu 3.85
4 Pb 0.0000 0.0000 0.0000  2 Cu 2.41

Electronic total energy, eV per atom: -2.064
Crystal system: tetragonal
E_form, eV/f.u.: 6.6



[25]
The following is a GGA-PBEsol calculation of a relaxed In2HgCl crystal, from the Alexandria database.

Cell: 4.2179 4.2179 5.8592 Å, 90.00 90.00 90.00°
With the nearest neighbours (Å) after each atom.
Space group P4/mmm (No. 123)
One atom of each set of equivalent atoms:
1 In 0.0000 0.0000 0.0000  2 Hg 2.93, 4 Cl 2.98
2 In 0.5000 0.5000 0.5000  2 Cl 2.93, 4 Hg 2.98
3 Hg 0.0000 0.0000 0.5000  6 In 2.93-2.98
4 Cl 0.5000 0.5000 0.0000  6 In 2.93-2.98

Electronic total energy, eV per atom: -2.491
Energy relative to the lowest polymorph listed for this composition, eV/atom: 0.005
Crystal system: tetragonal
Formation energy (no corrections), meV/atom: -355